one:
First-principles (PBE) data for a geometry-optimized RbSn2Br structure, as listed in Alexandria via LeMat-Bulk.

Properties
As for the crystal system: cubic. As for the density of states at the Fermi level: 4.46 states/eV/f.u. Its space-group type is Fm-3m.

Unit cell a=8.1803 b=8.1803 c=8.1803 alpha=90.00 beta=90.00 gamma=90.00
Positions (direct):
Rb: 0.0000 0.0000 0.0000
Rb: 0.0000 0.5000 0.5000
Rb: 0.5000 0.0000 0.5000
Rb: 0.5000 0.5000 0.0000
Sn: 0.2500 0.2500 0.2500
Sn: 0.2500 0.2500 0.7500
Sn: 0.2500 0.7500 0.2500
Sn: 0.2500 0.7500 0.7500
Sn: 0.7500 0.2500 0.2500
Sn: 0.7500 0.2500 0.7500
Sn: 0.7500 0.7500 0.2500
Sn: 0.7500 0.7500 0.7500
Br: 0.0000 0.0000 0.5000
Br: 0.0000 0.5000 0.0000
Br: 0.5000 0.0000 0.0000
Br: 0.5000 0.5000 0.5000

---

two:
First-principles (PBE) data for a geometry-optimized RbSn2Br structure, as listed in Alexandria via LeMat-Bulk.

Properties
As for the crystal system: tetragonal. As for the density of states at the Fermi level: 1.81 states/eV/f.u. Its space-group type is I-42d.

Unit cell a=4.4525 b=4.4525 c=32.6594 alpha=90.00 beta=90.00 gamma=90.00
Positions (direct):
Rb: 0.0000 0.0000 0.0000
Rb: 0.0000 0.5000 0.2500
Rb: 0.5000 0.0000 0.7500
Rb: 0.5000 0.5000 0.5000
Sn: 0.2490 0.2500 0.1250
Sn: 0.2500 0.7490 0.3750
Sn: 0.2500 0.7510 0.8750
Sn: 0.2510 0.2500 0.6250
Sn: 0.7490 0.7500 0.6250
Sn: 0.7500 0.2490 0.8750
Sn: 0.7500 0.2510 0.3750
Sn: 0.7510 0.7500 0.1250
Br: 0.0000 0.0000 0.5000
Br: 0.0000 0.5000 0.7500
Br: 0.5000 0.0000 0.2500
Br: 0.5000 0.5000 0.0000

---

Verdict on stability: two comes out on top.

---

one:
First-principles (PBE) data for a geometry-optimized Rb2SnBr structure, as listed in Alexandria via LeMat-Bulk.

Properties
As for the crystal system: cubic. As for the density of states at the Fermi level: 0.00 states/eV/f.u. Its space-group type is Fm-3m.

Unit cell a=8.9465 b=8.9465 c=8.9465 alpha=90.00 beta=90.00 gamma=90.00
Positions (direct):
Rb: 0.2500 0.2500 0.2500
Rb: 0.2500 0.2500 0.7500
Rb: 0.2500 0.7500 0.2500
Rb: 0.2500 0.7500 0.7500
Rb: 0.7500 0.2500 0.2500
Rb: 0.7500 0.2500 0.7500
Rb: 0.7500 0.7500 0.2500
Rb: 0.7500 0.7500 0.7500
Sn: 0.0000 0.0000 0.0000
Sn: 0.0000 0.5000 0.5000
Sn: 0.5000 0.0000 0.5000
Sn: 0.5000 0.5000 0.0000
Br: 0.0000 0.0000 0.5000
Br: 0.0000 0.5000 0.0000
Br: 0.5000 0.0000 0.0000
Br: 0.5000 0.5000 0.5000

---

two:
First-principles (PBE) data for a geometry-optimized Rb2SnBr structure, as listed in Alexandria via LeMat-Bulk.

Properties
As for the crystal system: tetragonal. As for the density of states at the Fermi level: 4.57 states/eV/f.u. Its space-group type is I-42d.

Unit cell a=9.6910 b=9.6910 c=7.9287 alpha=90.00 beta=90.00 gamma=90.00
Positions (direct):
Rb: 0.2076 0.2500 0.1250
Rb: 0.2500 0.7076 0.3750
Rb: 0.2500 0.7924 0.8750
Rb: 0.2924 0.2500 0.6250
Rb: 0.7076 0.7500 0.6250
Rb: 0.7500 0.2076 0.8750
Rb: 0.7500 0.2924 0.3750
Rb: 0.7924 0.7500 0.1250
Sn: 0.0000 0.0000 0.5000
Sn: 0.0000 0.5000 0.7500
Sn: 0.5000 0.0000 0.2500
Sn: 0.5000 0.5000 0.0000
Br: 0.0000 0.0000 0.0000
Br: 0.0000 0.5000 0.2500
Br: 0.5000 0.0000 0.7500
Br: 0.5000 0.5000 0.5000

---

Verdict on stability: one comes out on top.